VASP calculation (PBE) on crystalline Dy2Cr2Co15 at its relaxed geometry.

## Properties
energy relative to the elements = -7.0 kJ per mole of atoms
energy = -409.250 eV for the cell shown

CIF file:
```
data_Dy2Cr2Co15
_chemical_formula_sum 'Dy6 Cr6 Co45'
_cell_length_a 8.3004
_cell_length_b 8.3004
_cell_length_c 12.1062
_cell_angle_alpha 90.00
_cell_angle_beta 90.00
_cell_angle_gamma 120.00
_space_group_name_H-M_alt 'R -3 m'
_space_group_IT_number 166
_space_group_name_Hall '-R 3 2"'
loop_
_atom_site_label
_atom_site_type_symbol
_atom_site_fract_x
_atom_site_fract_y
_atom_site_fract_z
Dy1 Dy 0.0000 0.0000 0.1555
Cr1 Cr 0.0000 0.0000 0.4143
Co1 Co 0.0000 0.2954 0.5000
Co2 Co 0.0000 0.5000 0.0000
Co3 Co 0.0033 0.5017 0.3458
```